1.
# Lu2GaBi

Lu2GaBi after structural relaxation (PBE, the Alexandria database).

calculated density = 9.5 g/cm3
DFT total energy = -0.325 Ry/atom
D(E_F) = 3.4 states/eV/f.u.
ΔH_f (0 K) = -432 meV/atom
magnetic moment = 0.00 μB/f.u.
symmetry = R-3m (166)

a b c (Å): 4.1405 4.1405 7.7569
angles (deg): 74.52 74.52 60.00
Atoms (fractional coordinates):
Lu1 0.2535 0.2535 0.2396
Lu2 0.7465 0.7465 0.7604
Bi1 0.5000 0.5000 0.5000
Ga1 0.0000 0.0000 0.0000



2.
# LuGaBi

LuGaBi after structural relaxation (PBE, the Alexandria database).

E above lowest polymorph = 53.3 meV/atom
calculated density = 9.5 g/cm3
DFT total energy = -0.296 Ry/atom
D(E_F) = 2.0 states/eV/f.u.
ΔH_f (0 K) = -221 meV/atom
magnetic moment = 0.00 μB/f.u.
symmetry = P3m1 (156)

a b c (Å): 4.0614 4.7549 4.7549
angles (deg): 120.00 90.00 90.00
Atoms (fractional coordinates):
Lu1 0.2757 0.3333 0.6667
Bi1 0.7094 0.6667 0.3333
Ga1 0.0150 0.0000 0.0000



3.
# LuGaBi

LuGaBi after structural relaxation (PBE, the Alexandria database).

E above lowest polymorph = 0.0 meV/atom
calculated density = 10.0 g/cm3
DFT total energy = -0.300 Ry/atom
D(E_F) = 1.7 states/eV/f.u.
ΔH_f (0 K) = -274 meV/atom
magnetic moment = 0.00 μB/f.u.
symmetry = I4mm (107)

a b c (Å): 3.6575 3.6575 6.2091
angles (deg): 107.13 107.13 90.00
Atoms (fractional coordinates):
Lu1 0.2649 0.2649 0.5298
Bi1 0.9547 0.9547 0.9093
Ga1 0.6304 0.6304 0.2609



4.
# MgGaBi3

MgGaBi3 after structural relaxation (PBE, the Alexandria database).

E above lowest polymorph = 2.6 meV/atom
calculated density = 7.1 g/cm3
DFT total energy = -0.203 Ry/atom
D(E_F) = 4.1 states/eV/f.u.
ΔH_f (0 K) = 486 meV/atom
magnetic moment = 0.00 μB/f.u.
symmetry = Pm-3m (221)

a b c (Å): 5.5172 5.5172 5.5172
angles (deg): 90.00 90.00 90.00
Atoms (fractional coordinates):
Mg1 0.5000 0.5000 0.5000
Bi1 0.0000 0.5000 0.0000
Bi2 0.0000 0.0000 0.5000
Bi3 0.5000 0.0000 0.0000
Ga1 0.0000 0.0000 0.0000



5.
# MgGaBi2

MgGaBi2 after structural relaxation (PBE, the Alexandria database).

calculated density = 7.4 g/cm3
DFT total energy = -0.226 Ry/atom
D(E_F) = 1.6 states/eV/f.u.
ΔH_f (0 K) = 21 meV/atom
magnetic moment = 0.00 μB/f.u.
symmetry = Cm (8)

a b c (Å): 4.5628 4.5628 6.4142
angles (deg): 69.79 69.79 72.32
Atoms (fractional coordinates):
Mg1 0.6443 0.6443 0.9877
Ga1 0.5543 0.5543 0.5102
Bi1 0.1062 0.1062 0.7671
Bi2 0.1952 0.1952 0.2350



6.
# Mg2GaBi2

Mg2GaBi2 after structural relaxation (PBE, the Alexandria database).

E above lowest polymorph = 151.6 meV/atom
calculated density = 5.8 g/cm3
DFT total energy = -0.196 Ry/atom
D(E_F) = 2.3 states/eV/f.u.
ΔH_f (0 K) = 130 meV/atom
magnetic moment = 0.00 μB/f.u.
symmetry = I4/mmm (139)

a b c (Å): 4.7142 4.7142 7.6497
angles (deg): 72.05 72.05 90.00
Atoms (fractional coordinates):
Mg1 0.3974 0.3974 0.2052
Mg2 0.6026 0.6026 0.7948
Bi1 0.7500 0.2500 0.5000
Bi2 0.2500 0.7500 0.5000
Ga1 0.0000 0.0000 0.0000



7.
# MgGaBi

MgGaBi after structural relaxation (PBE, the Alexandria database).

calculated density = 6.4 g/cm3
DFT total energy = -0.208 Ry/atom
D(E_F) = 1.5 states/eV/f.u.
ΔH_f (0 K) = 2 meV/atom
magnetic moment = 0.00 μB/f.u.
symmetry = C2/m (12)

a b c (Å): 3.6780 3.6780 11.8008
angles (deg): 83.25 96.75 90.04
Atoms (fractional coordinates):
Mg1 0.8375 0.1625 0.2006
Mg2 0.1625 0.8375 0.7994
Ga1 0.7497 0.7497 0.0000
Ga2 0.2503 0.2503 0.0000
Bi1 0.4143 0.5857 0.3629
Bi2 0.5857 0.4143 0.6371



8.
# MgGa2Bi

MgGa2Bi after structural relaxation (PBE, the Alexandria database).

E above lowest polymorph = 64.0 meV/atom
calculated density = 6.5 g/cm3
DFT total energy = -0.209 Ry/atom
D(E_F) = 3.3 states/eV/f.u.
ΔH_f (0 K) = 35 meV/atom
magnetic moment = 0.00 μB/f.u.
symmetry = Fm-3m (225)

a b c (Å): 5.1345 5.1345 5.1345
angles (deg): 60.00 60.00 60.00
Atoms (fractional coordinates):
Mg1 0.0000 0.0000 0.0000
Bi1 0.5000 0.5000 0.5000
Ga1 0.2500 0.2500 0.2500
Ga2 0.7500 0.7500 0.7500